Record 1
First-principles (GGA-PBE) data for a geometry-optimized LaTb2DyTm structure, as listed in Alexandria via LeMat-Bulk.

The structure in CIF format:
```
data_LaTb2DyTm
_chemical_formula_sum 'La4 Tb8 Dy4 Tm4'
_cell_length_a 8.4308
_cell_length_b 11.5200
_cell_length_c 7.2340
_cell_angle_alpha 90.00
_cell_angle_beta 90.00
_cell_angle_gamma 90.00
_space_group_name_H-M_alt 'C m c m'
_space_group_IT_number 63
_space_group_name_Hall '-C 2c 2'
loop_
_atom_site_label
_atom_site_fract_x
_atom_site_fract_y
_atom_site_fract_z
La1 0.0000 0.2318 0.2500
Tb1 0.1906 0.0000 0.0000
Dy1 0.0000 0.5002 0.2500
Tm1 0.0000 0.2199 0.7500
```

Properties
Energy ... -85.670 eV/cell
Energy relative to the elements ... 0.369 eV/atom

=====

Record 2
First-principles (GGA-PBE) data for a geometry-optimized LaTb2Dy6Tm structure, as listed in Alexandria via LeMat-Bulk.

The structure in CIF format:
```
data_LaTb2Dy6Tm
_chemical_formula_sum 'La4 Tb8 Dy24 Tm4'
_cell_length_a 9.1130
_cell_length_b 15.0657
_cell_length_c 9.5282
_cell_angle_alpha 90.00
_cell_angle_beta 96.36
_cell_angle_gamma 90.00
_space_group_name_H-M_alt 'C 1 2/c 1'
_space_group_IT_number 15
loop_
_space_group_symop_operation_xyz
'x,y,z'
'-x,-y,-z'
'-x,y,-z+1/2'
'x,-y,z+1/2'
'x+1/2,y+1/2,z'
'-x+1/2,-y+1/2,-z'
'-x+1/2,y+1/2,-z+1/2'
'x+1/2,-y+1/2,z+1/2'
loop_
_atom_site_label
_atom_site_fract_x
_atom_site_fract_y
_atom_site_fract_z
La1 0.0000 0.0268 0.2500
Tb1 0.2471 0.4470 0.4518
Dy1 0.0626 0.1882 0.9424
Dy2 0.0992 0.3911 0.1171
Dy3 0.2110 0.2265 0.3170
Tm1 0.0000 0.4101 0.7500
```

Properties
Energy ... -180.301 eV/cell
Energy relative to the elements ... 0.120 eV/atom

=====

Record 3
First-principles (GGA-PBE) data for a geometry-optimized LaTb5Dy2Tm structure, as listed in Alexandria via LeMat-Bulk.

The structure in CIF format:
```
data_LaTb5Dy2Tm
_chemical_formula_sum 'La4 Tb20 Dy8 Tm4'
_cell_length_a 9.0673
_cell_length_b 9.0673
_cell_length_c 14.5689
_cell_angle_alpha 90.00
_cell_angle_beta 90.00
_cell_angle_gamma 90.00
_space_group_name_H-M_alt 'I 4/m c m'
_space_group_IT_number 140
_space_group_name_Hall '-I 4 2c'
loop_
_atom_site_label
_atom_site_fract_x
_atom_site_fract_y
_atom_site_fract_z
La1 0.0000 0.0000 0.2500
Tb1 0.0000 0.0000 0.0000
Tb2 0.2039 0.2961 0.1298
Dy1 0.1114 0.3886 0.5000
Tm1 0.0000 0.5000 0.2500
```

Properties
Energy ... -156.521 eV/cell
Energy relative to the elements ... 0.292 eV/atom

=====

Record 4
First-principles (GGA-PBE) data for a geometry-optimized LaTbDy4Tm2 structure, as listed in Alexandria via LeMat-Bulk.

The structure in CIF format:
```
data_LaTbDy4Tm2
_chemical_formula_sum 'La2 Tb2 Dy8 Tm4'
_cell_length_a 7.1098
_cell_length_b 7.1314
_cell_length_c 10.0385
_cell_angle_alpha 90.00
_cell_angle_beta 90.00
_cell_angle_gamma 90.00
_space_group_name_H-M_alt 'P m m m'
_space_group_IT_number 47
loop_
_space_group_symop_operation_xyz
'x,y,z'
'-x,-y,-z'
'-x,-y,z'
'x,y,-z'
'x,-y,-z'
'-x,y,z'
'-x,y,-z'
'x,-y,z'
loop_
_atom_site_label
_atom_site_fract_x
_atom_site_fract_y
_atom_site_fract_z
La1 0.0000 0.0000 0.0000
La2 0.0000 0.5000 0.0000
Tb1 0.0000 0.0000 0.5000
Tb2 0.5000 0.0000 0.0000
Dy1 0.2530 0.2510 0.2540
Tm1 0.0000 0.5000 0.5000
Tm2 0.5000 0.0000 0.5000
Tm3 0.5000 0.5000 0.0000
Tm4 0.5000 0.5000 0.5000
```

Properties
Energy ... -73.472 eV/cell
Energy relative to the elements ... 0.022 eV/atom